Below is a geometry-optimized CaLaSc2Fe structure, with properties calculated at the PBE level.

abc: 5.145 5.145 5.165
angles: 90.00 90.00 90.00
Fractional coordinates of all 5 atoms:
Ca  0.000  0.000  0.000
La  0.500  0.500  0.000
Sc  0.000  0.500  0.500
Sc  0.500  0.000  0.500
Fe  0.500  0.500  0.500

Calculated values
**ΔH_f (0 K)**: 0.25 eV/f.u.
**V**: 27.3 Å³/atom
**Total moment**: 0.000 μB/cell
**Density of states at the Fermi level**: 0.94 states/eV per atom
**SG**: No. 123